First-principles (GGA-PBE) data for a geometry-optimized Cs5K structure, as listed in Alexandria via LeMat-Bulk.

Calculated values
**Electronic total energy**: -0.89 eV/atom
**D(E_F)**: 13.1 states/eV/cell

Structure (CIF):
```
data_Cs5K
_space_group_name_H-M_alt 'C m m m'
_space_group_IT_number 65
_space_group_name_Hall '-C 2 2'
_cell_length_a 7.574
_cell_length_b 22.213
_cell_length_c 7.689
_cell_angle_alpha 90.00
_cell_angle_beta 90.00
_cell_angle_gamma 90.00
loop_
_atom_site_label
_atom_site_type_symbol
_atom_site_fract_x
_atom_site_fract_y
_atom_site_fract_z
Cs1 Cs 0.000 0.000 0.000
Cs2 Cs 0.000 0.161 0.500
Cs3 Cs 0.000 0.338 0.000
K1 K 0.000 0.500 0.500
```

***

First-principles (GGA-PBE) data for a geometry-optimized Pr2AgP3Rh12 structure, as listed in Alexandria via LeMat-Bulk.

Calculated values
**Electronic total energy**: -6.62 eV/atom
**D(E_F)**: 45.6 states/eV/cell

Structure (CIF):
```
data_Pr2AgP3Rh12
_space_group_name_H-M_alt 'R -3 m'
_space_group_IT_number 166
_space_group_name_Hall '-R 3 2"'
_cell_length_a 8.5820
_cell_length_b 8.5820
_cell_length_c 14.9312
_cell_angle_alpha 90.00
_cell_angle_beta 90.00
_cell_angle_gamma 120.00
loop_
_atom_site_label
_atom_site_type_symbol
_atom_site_fract_x
_atom_site_fract_y
_atom_site_fract_z
Pr1 Pr 0.0000 0.0000 0.1071
Ag1 Ag 0.0000 0.0000 0.5000
P1 P 0.0000 0.5000 0.0000
Rh1 Rh 0.0106 0.5053 0.8530
Rh2 Rh 0.0572 0.5286 0.3590
```

***

First-principles (GGA-PBE) data for a geometry-optimized KCa2MnZn structure, as listed in Alexandria via LeMat-Bulk.

Calculated values
**Electronic total energy**: -2.49 eV/atom
**D(E_F)**: 7.0 states/eV/cell

Structure (CIF):
```
data_KCa2MnZn
_space_group_name_H-M_alt 'P 4/m m m'
_space_group_IT_number 123
_space_group_name_Hall '-P 4 2'
_cell_length_a 5.768
_cell_length_b 5.768
_cell_length_c 6.003
_cell_angle_alpha 90.00
_cell_angle_beta 90.00
_cell_angle_gamma 90.00
loop_
_atom_site_label
_atom_site_type_symbol
_atom_site_fract_x
_atom_site_fract_y
_atom_site_fract_z
K1 K 0.000 0.000 0.000
Ca1 Ca 0.000 0.500 0.500
Mn1 Mn 0.500 0.500 0.000
Zn1 Zn 0.000 0.000 0.500
```

***

First-principles (GGA-PBE) data for a geometry-optimized LaMnBe2 structure, as listed in Alexandria via LeMat-Bulk.

Calculated values
**Electronic total energy**: -5.29 eV/atom
**D(E_F)**: 6.0 states/eV/cell

Structure (CIF):
```
data_LaMnBe2
_space_group_name_H-M_alt 'C 1 2/m 1'
_space_group_IT_number 12
_cell_length_a 6.818
_cell_length_b 3.936
_cell_length_c 5.707
_cell_angle_alpha 90.00
_cell_angle_beta 113.35
_cell_angle_gamma 90.00
loop_
_space_group_symop_operation_xyz
'x,y,z'
'-x,-y,-z'
'-x,y,-z'
'x,-y,z'
'x+1/2,y+1/2,z'
'-x+1/2,-y+1/2,-z'
'-x+1/2,y+1/2,-z'
'x+1/2,-y+1/2,z'
loop_
_atom_site_label
_atom_site_type_symbol
_atom_site_fract_x
_atom_site_fract_y
_atom_site_fract_z
La1 La 0.000 0.000 0.000
Mn1 Mn 0.000 0.500 0.500
Be1 Be 0.188 0.000 0.565
```

***

First-principles (GGA-PBE) data for a geometry-optimized NpI4N2 structure, as listed in Alexandria via LeMat-Bulk.

Calculated values
**Electronic total energy**: -4.40 eV/atom
**D(E_F)**: 30.4 states/eV/cell

Structure (CIF):
```
data_NpI4N2
_space_group_name_H-M_alt 'R -3 m'
_space_group_IT_number 166
_space_group_name_Hall '-R 3 2"'
_cell_length_a 4.6982
_cell_length_b 4.6982
_cell_length_c 39.3971
_cell_angle_alpha 90.00
_cell_angle_beta 90.00
_cell_angle_gamma 120.00
loop_
_atom_site_label
_atom_site_type_symbol
_atom_site_fract_x
_atom_site_fract_y
_atom_site_fract_z
Np1 Np 0.0000 0.0000 0.0000
I1 I 0.0000 0.0000 0.1392
I2 I 0.0000 0.0000 0.2892
N1 N 0.0000 0.0000 0.1872
```

***

First-principles (GGA-PBE) data for a geometry-optimized InSbOsO6 structure, as listed in Alexandria via LeMat-Bulk.

Calculated values
**Electronic total energy**: -6.44 eV/atom
**D(E_F)**: 6.1 states/eV/cell

Structure (CIF):
```
data_InSbOsO6
_space_group_name_H-M_alt 'P -3 1 c'
_space_group_IT_number 163
_space_group_name_Hall '-P 3 2c'
_cell_length_a 5.4043
_cell_length_b 5.4043
_cell_length_c 9.0576
_cell_angle_alpha 90.00
_cell_angle_beta 90.00
_cell_angle_gamma 120.00
loop_
_atom_site_label
_atom_site_type_symbol
_atom_site_fract_x
_atom_site_fract_y
_atom_site_fract_z
In1 In 0.3333 0.6667 0.2500
Sb1 Sb 0.0000 0.0000 0.0000
Os1 Os 0.3333 0.6667 0.7500
O1 O 0.0291 0.3653 0.6284
```

***

First-principles (GGA-PBE) data for a geometry-optimized RbYSi structure, as listed in Alexandria via LeMat-Bulk.

Calculated values
**Electronic total energy**: -4.43 eV/atom
**D(E_F)**: 4.0 states/eV/cell

Structure (CIF):
```
data_RbYSi
_space_group_name_H-M_alt 'P 1'
_space_group_IT_number 1
_cell_length_a 4.636
_cell_length_b 4.636
_cell_length_c 14.219
_cell_angle_alpha 81.54
_cell_angle_beta 81.21
_cell_angle_gamma 60.02
loop_
_space_group_symop_operation_xyz
'x,y,z'
loop_
_atom_site_label
_atom_site_type_symbol
_atom_site_fract_x
_atom_site_fract_y
_atom_site_fract_z
Rb1 Rb 0.000 0.000 0.000
Rb2 Rb 0.450 0.474 0.669
Y1 Y 0.257 0.265 0.234
Y2 Y 0.866 0.880 0.413
Si1 Si 0.558 0.569 0.337
Si2 Si 0.615 0.620 0.161
```

***

First-principles (GGA-PBE) data for a geometry-optimized HfNb2Re structure, as listed in Alexandria via LeMat-Bulk.

Calculated values
**Electronic total energy**: -10.77 eV/atom
**D(E_F)**: 3.7 states/eV/cell

Structure (CIF):
```
data_HfNb2Re
_space_group_name_H-M_alt 'P 4/m m m'
_space_group_IT_number 123
_space_group_name_Hall '-P 4 2'
_cell_length_a 3.232
_cell_length_b 3.232
_cell_length_c 6.936
_cell_angle_alpha 90.00
_cell_angle_beta 90.00
_cell_angle_gamma 90.00
loop_
_atom_site_label
_atom_site_type_symbol
_atom_site_fract_x
_atom_site_fract_y
_atom_site_fract_z
Hf1 Hf 0.000 0.000 0.000
Nb1 Nb 0.500 0.500 0.273
Re1 Re 0.000 0.000 0.500
```